No. 1
Entry from Alexandria via LeMat-Bulk: crystalline CrTe3 at its relaxed geometry (PBE-GGA).

Computed properties:
The calculation puts the mass density at 6.790 Mg/m³. As for the formation energy (no corrections): 0.55 eV per atom.

Structure (POSCAR):
```
CrTe3
1.0
4.7376 0.0000 0.0000
0.0000 4.7376 0.0000
0.0000 0.0000 4.7376
Cr Te
1 3
direct
0.0000 0.0000 0.0000
0.0000 0.5000 0.5000
0.5000 0.0000 0.5000
0.5000 0.5000 0.0000
```



No. 2
Entry from Alexandria via LeMat-Bulk: crystalline PmEr2Hf at its relaxed geometry (PBE-GGA).

Computed properties:
The calculation puts the mass density at 9.311 Mg/m³. The energy above the most stable polymorph in this dataset comes out at 112 meV/atom. The calculation puts the energy relative to the elements at 0.22 eV per atom.

Structure (POSCAR):
```
PmEr2Hf
1.0
3.9550 0.0000 0.0000
0.0000 3.9550 0.0000
0.0000 0.0000 7.5021
Pm Er Hf
1 2 1
direct
0.0000 0.0000 0.0000
0.5000 0.5000 0.2840
0.5000 0.5000 0.7160
0.0000 0.0000 0.5000
```



No. 3
Entry from Alexandria via LeMat-Bulk: crystalline Y2ZrTl at its relaxed geometry (PBE-GGA).

Computed properties:
The calculation puts the mass density at 7.401 Mg/m³. The energy above the most stable polymorph in this dataset comes out at 59 meV/atom. The calculation puts the energy relative to the elements at -0.08 eV per atom.

Structure (POSCAR):
```
Y2ZrTl
1.0
-2.3079 2.3079 4.9853
2.3079 -2.3079 4.9853
2.3079 2.3079 -4.9853
Y Zr Tl
2 1 1
direct
0.0000 0.0000 0.0000
0.7500 0.2500 0.5000
0.2500 0.7500 0.5000
0.5000 0.5000 0.0000
```



No. 4
Entry from Alexandria via LeMat-Bulk: crystalline Pm2YMgO at its relaxed geometry (PBE-GGA).

Computed properties:
The calculation puts the mass density at 5.790 Mg/m³. As for the formation energy (no corrections): -1.19 eV per atom.

Structure (POSCAR):
```
Pm2YMgO
1.0
5.0137 0.0000 0.0000
0.0000 5.0137 0.0000
0.0000 0.0000 4.7825
Pm Y Mg O
2 1 1 1
direct
0.0000 0.5000 0.0000
0.5000 0.0000 0.0000
0.0000 0.0000 0.5000
0.5000 0.5000 0.5000
0.0000 0.0000 0.0000
```



No. 5
Entry from Alexandria via LeMat-Bulk: crystalline VInPt2Cl at its relaxed geometry (PBE-GGA).

Computed properties:
The calculation puts the mass density at 9.407 Mg/m³. As for the formation energy (no corrections): 0.20 eV per atom.

Structure (POSCAR):
```
VInPt2Cl
1.0
4.8501 0.0000 0.0000
0.0000 4.8501 0.0000
0.0000 0.0000 4.4375
V In Pt Cl
1 1 2 1
direct
0.0000 0.0000 0.0000
0.5000 0.5000 0.5000
0.0000 0.5000 0.0000
0.5000 0.0000 0.0000
0.0000 0.0000 0.5000
```



No. 6
Entry from Alexandria via LeMat-Bulk: crystalline GdYScCd at its relaxed geometry (PBE-GGA).

Computed properties:
The calculation puts the mass density at 6.134 Mg/m³. The calculation puts the energy relative to the elements at -0.06 eV per atom.

Structure (POSCAR):
```
GdYScCd
1.0
0.0000 3.7941 3.7941
3.7941 0.0000 3.7941
3.7941 3.7941 0.0000
Gd Y Sc Cd
1 1 1 1
direct
0.0000 0.0000 0.0000
0.5000 0.5000 0.5000
0.2500 0.2500 0.2500
0.7500 0.7500 0.7500
```



No. 7
Entry from Alexandria via LeMat-Bulk: crystalline SrCr2W at its relaxed geometry (PBE-GGA).

Computed properties:
The calculation puts the mass density at 9.200 Mg/m³. The energy above the most stable polymorph in this dataset comes out at 601 meV/atom. The calculation puts the energy relative to the elements at 1.28 eV per atom.

Structure (POSCAR):
```
SrCr2W
1.0
0.0000 3.2359 3.2359
3.2359 0.0000 3.2359
3.2359 3.2359 0.0000
Sr Cr W
1 2 1
direct
0.0000 0.0000 0.0000
0.2500 0.2500 0.2500
0.7500 0.7500 0.7500
0.5000 0.5000 0.5000
```



No. 8
Entry from Alexandria via LeMat-Bulk: crystalline CsInSeBr2 at its relaxed geometry (PBE-GGA).

Computed properties:
The calculation puts the mass density at 4.610 Mg/m³. As for the formation energy (no corrections): -0.94 eV per atom.

Structure (POSCAR):
```
CsInSeBr2
1.0
5.7607 0.0000 0.0000
0.0000 5.7607 0.0000
0.0000 0.0000 5.2802
Cs In Se Br
1 1 1 2
direct
0.0000 0.0000 0.0000
0.5000 0.5000 0.5000
0.5000 0.5000 0.0000
0.0000 0.5000 0.5000
0.5000 0.0000 0.5000
```



No. 9
Entry from Alexandria via LeMat-Bulk: crystalline BaLiLa2Pd at its relaxed geometry (PBE-GGA).

Computed properties:
The calculation puts the mass density at 4.833 Mg/m³. The calculation puts the energy relative to the elements at -0.13 eV per atom.

Structure (POSCAR):
```
BaLiLa2Pd
1.0
5.7051 0.0000 0.0000
0.0000 5.7051 0.0000
0.0000 0.0000 5.5785
Ba Li La Pd
1 1 2 1
direct
0.0000 0.0000 0.0000
0.5000 0.5000 0.0000
0.0000 0.5000 0.5000
0.5000 0.0000 0.5000
0.5000 0.5000 0.5000
```



No. 10
Entry from Alexandria via LeMat-Bulk: crystalline TmZr2Cd at its relaxed geometry (PBE-GGA).

Computed properties:
The calculation puts the mass density at 8.080 Mg/m³. The energy above the most stable polymorph in this dataset comes out at 50 meV/atom. The calculation puts the energy relative to the elements at -0.01 eV per atom.

Structure (POSCAR):
```
TmZr2Cd
1.0
3.2566 0.0000 0.0000
0.0000 3.2566 0.0000
0.0000 0.0000 8.9875
Tm Zr Cd
1 2 1
direct
0.0000 0.0000 0.0000
0.5000 0.5000 0.2612
0.5000 0.5000 0.7388
0.0000 0.0000 0.5000
```



No. 11
Entry from Alexandria via LeMat-Bulk: crystalline Mg3Cd2Ag2 at its relaxed geometry (PBE-GGA).

Computed properties:
The calculation puts the mass density at 5.965 Mg/m³. The energy above the most stable polymorph in this dataset comes out at 10 meV/atom. The calculation puts the energy relative to the elements at -0.12 eV per atom.

Structure (POSCAR):
```
Mg3Cd2Ag2
1.0
-1.5366 2.3449 9.9178
1.5366 -2.3449 9.9178
1.5366 2.3449 -9.9178
Mg Cd Ag
3 2 2
direct
0.0000 0.0000 0.0000
0.2949 0.7949 0.5000
0.7051 0.2051 0.5000
0.4280 0.4280 0.0000
0.5720 0.5720 0.0000
0.1524 0.6524 0.5000
0.8476 0.3476 0.5000
```



No. 12
Entry from Alexandria via LeMat-Bulk: crystalline NdLu2Cu at its relaxed geometry (PBE-GGA).

Computed properties:
The calculation puts the mass density at 8.955 Mg/m³. The energy above the most stable polymorph in this dataset comes out at 0 meV/atom. The calculation puts the energy relative to the elements at -0.12 eV per atom.

Structure (POSCAR):
```
NdLu2Cu
1.0
3.4392 0.0000 0.0000
0.0000 3.4392 0.0000
0.0000 0.0000 8.7433
Nd Lu Cu
1 2 1
direct
0.0000 0.0000 0.0000
0.5000 0.5000 0.3099
0.5000 0.5000 0.6901
0.0000 0.0000 0.5000
```



No. 13
Entry from Alexandria via LeMat-Bulk: crystalline LaTe2RuI at its relaxed geometry (PBE-GGA).

Computed properties:
The calculation puts the mass density at 4.440 Mg/m³. The energy above the most stable polymorph in this dataset comes out at 892 meV/atom. As for the formation energy (no corrections): 0.56 eV per atom.

Structure (POSCAR):
```
LaTe2RuI
1.0
6.1610 0.0000 0.0000
0.0000 6.1610 0.0000
0.0000 0.0000 6.1289
La Te Ru I
1 2 1 1
direct
0.0000 0.0000 0.0000
0.0000 0.5000 0.0000
0.5000 0.0000 0.0000
0.5000 0.5000 0.5000
0.0000 0.0000 0.5000
```



No. 14
Entry from Alexandria via LeMat-Bulk: crystalline CaYInAu at its relaxed geometry (PBE-GGA).

Computed properties:
The calculation puts the mass density at 7.055 Mg/m³. The calculation puts the energy relative to the elements at -0.66 eV per atom.

Structure (POSCAR):
```
CaYInAu
1.0
3.6753 0.0000 0.0000
0.0000 3.6753 0.0000
0.0000 0.0000 7.6808
Ca Y In Au
1 1 1 1
direct
0.0000 0.0000 0.0000
0.0000 0.0000 0.4603
0.5000 0.5000 0.7234
0.5000 0.5000 0.2524
```



No. 15
Entry from Alexandria via LeMat-Bulk: crystalline HoCuPH at its relaxed geometry (PBE-GGA).

Computed properties:
The calculation puts the mass density at 7.918 Mg/m³. The raw total energy is -5.19 eV per atom.

Structure (POSCAR):
```
HoCuPH
1.0
3.7577 0.0000 0.0000
0.0000 3.7577 0.0000
0.0000 0.0000 7.7362
Ho Cu P H
2 2 2 2
direct
0.2500 0.2500 0.1712
0.7500 0.7500 0.8288
0.2500 0.7500 0.5000
0.7500 0.2500 0.5000
0.2500 0.2500 0.6948
0.7500 0.7500 0.3052
0.2500 0.7500 0.0000
0.7500 0.2500 0.0000
```



No. 16
Entry from Alexandria via LeMat-Bulk: crystalline Pm2In2Hg at its relaxed geometry (PBE-GGA).

Computed properties:
The calculation puts the mass density at 8.530 Mg/m³. The energy above the most stable polymorph in this dataset comes out at 121 meV/atom. The calculation puts the energy relative to the elements at -0.34 eV per atom.

Structure (POSCAR):
```
Pm2In2Hg
1.0
1.8156 -11.1115 0.0000
1.8156 11.1115 0.0000
0.0000 0.0000 3.4751
Pm In Hg
2 2 1
direct
0.0972 0.9028 0.0000
0.9028 0.0972 0.0000
0.3038 0.6962 0.5000
0.6962 0.3038 0.5000
0.5000 0.5000 0.5000
```



No. 17
Entry from Alexandria via LeMat-Bulk: crystalline Li3ScZn at its relaxed geometry (PBE-GGA).

Computed properties:
The calculation puts the mass density at 2.140 Mg/m³. The energy above the most stable polymorph in this dataset comes out at 0 meV/atom. The calculation puts the energy relative to the elements at 0.28 eV per atom.

Structure (POSCAR):
```
Li3ScZn
1.0
4.6693 0.0000 0.0000
0.0000 4.6693 0.0000
0.0000 0.0000 4.6693
Li Sc Zn
3 1 1
direct
0.0000 0.0000 0.5000
0.0000 0.5000 0.0000
0.5000 0.0000 0.0000
0.5000 0.5000 0.5000
0.0000 0.0000 0.0000
```



No. 18
Entry from Alexandria via LeMat-Bulk: crystalline KH2Br at its relaxed geometry (PBE-GGA).

Computed properties:
The calculation puts the mass density at 2.468 Mg/m³. The energy above the most stable polymorph in this dataset comes out at 1104 meV/atom.

Structure (POSCAR):
```
KH2Br
1.0
-2.2584 2.2584 7.9829
2.2584 -2.2584 7.9829
2.2584 2.2584 -7.9829
K H Br
2 4 2
direct
0.3750 0.6250 0.7500
0.6250 0.3750 0.2500
0.0000 0.0000 0.0000
0.0000 0.0000 0.5000
0.0000 0.5000 0.0000
0.5000 0.0000 0.5000
0.1250 0.8750 0.2500
0.8750 0.1250 0.7500
```



No. 19
Entry from Alexandria via LeMat-Bulk: crystalline KIn3I at its relaxed geometry (PBE-GGA).

Computed properties:
The calculation puts the mass density at 3.288 Mg/m³. The energy above the most stable polymorph in this dataset comes out at 363 meV/atom. As for the formation energy (no corrections): 0.55 eV per atom.

Structure (POSCAR):
```
KIn3I
1.0
6.3646 0.0000 0.0000
0.0000 6.3646 0.0000
0.0000 0.0000 6.3646
K In I
1 3 1
direct
0.0000 0.0000 0.0000
0.0000 0.0000 0.5000
0.0000 0.5000 0.0000
0.5000 0.0000 0.0000
0.5000 0.5000 0.5000
```



No. 20
Entry from Alexandria via LeMat-Bulk: crystalline CaYTl2 at its relaxed geometry (PBE-GGA).

Computed properties:
The calculation puts the mass density at 7.059 Mg/m³. The calculation puts the energy relative to the elements at -0.10 eV per atom.

Structure (POSCAR):
```
CaYTl2
1.0
-4.1915 4.1915 3.6001
4.1915 -4.1915 3.6001
4.1915 4.1915 -3.6001
Ca Y Tl
2 2 4
direct
0.0000 0.0000 0.0000
0.7500 0.2500 0.5000
0.2500 0.7500 0.5000
0.5000 0.5000 0.0000
0.1276 0.6250 0.0026
0.3750 0.3776 0.5026
0.6224 0.1250 0.9974
0.8750 0.8724 0.4974
```



| no. | size of the total moment (μB per cell) |
| --- | --- |
| 1 | 4.23 |
| 2 | 0.00 |
| 3 | 0.00 |
| 4 | 0.00 |
| 5 | 0.00 |
| 6 | 7.71 |
| 7 | 0.00 |
| 8 | 0.00 |
| 9 | 0.00 |
| 10 | 0.00 |
| 11 | 0.00 |
| 12 | 0.00 |
| 13 | 3.37 |
| 14 | 0.00 |
| 15 | 0.00 |
| 16 | 0.00 |
| 17 | 0.06 |
| 18 | 0.00 |
| 19 | 0.00 |
| 20 | 0.00 |